# 1
Here is a relaxed Sm2InSn3 crystal from Alexandria via LeMat-Bulk. Energies are from PBE-GGA.

Lattice parameters (Å, degrees): 5.8657 8.1724 8.1724 110.32 90.00 90.00
Element x y z (fractional)
Sm 0.7500 0.4477 0.1610
Sm 0.2500 0.5523 0.8390
Sm 0.2500 0.8390 0.5523
Sm 0.7500 0.1610 0.4477
In 0.7500 0.8828 0.8828
In 0.2500 0.1172 0.1172
Sn 0.2500 0.4242 0.4242
Sn 0.7500 0.5758 0.5758
Sn 0.5000 0.1885 0.8115
Sn 0.0000 0.1885 0.8115
Sn 0.5000 0.8115 0.1885
Sn 0.0000 0.8115 0.1885

## Properties
Calculated volume = 30.6 A^3/atom
Calculated density = 6.976 Mg/m³
Formation enthalpy at 0 K = -0.284 eV per atom
Raw total energy = -4.315 eV per atom

---

# 2
Here is a relaxed Sm3InSn3 crystal from Alexandria via LeMat-Bulk. Energies are from PBE-GGA.

Lattice parameters (Å, degrees): 5.6944 8.9172 8.9172 120.00 90.00 90.00
Element x y z (fractional)
Sm 0.7500 0.6465 0.5553
Sm 0.7500 0.4447 0.0912
Sm 0.7500 0.9088 0.3535
Sm 0.2500 0.3535 0.4447
Sm 0.2500 0.5553 0.9088
Sm 0.2500 0.0912 0.6465
In 0.2500 0.6667 0.3333
In 0.7500 0.3333 0.6667
Sn 0.2500 0.8062 0.7534
Sn 0.2500 0.2466 0.0528
Sn 0.2500 0.9472 0.1938
Sn 0.7500 0.1938 0.2466
Sn 0.7500 0.7534 0.9472
Sn 0.7500 0.0528 0.8062

## Properties
Calculated volume = 28.0 A^3/atom
Calculated density = 7.809 Mg/m³
Formation enthalpy at 0 K = -0.447 eV per atom
Raw total energy = -4.576 eV per atom

---

# 3
Here is a relaxed SmInSn4 crystal from Alexandria via LeMat-Bulk. Energies are from PBE-GGA.

Lattice parameters (Å, degrees): 6.2052 6.2052 6.2052 60.00 60.00 60.00
Element x y z (fractional)
Sn 0.6251 0.6251 0.1247
Sn 0.6251 0.1247 0.6251
Sn 0.6251 0.6251 0.6251
Sn 0.1247 0.6251 0.6251
Sm 0.0000 0.0000 0.0000
In 0.2500 0.2500 0.2500

## Properties
Calculated volume = 28.2 A^3/atom
Calculated density = 7.273 Mg/m³
Formation enthalpy at 0 K = -0.173 eV per atom
Raw total energy = -4.085 eV per atom

---

# 4
Here is a relaxed Sm2In3SnTe6 crystal from Alexandria via LeMat-Bulk. Energies are from PBE-GGA.

Lattice parameters (Å, degrees): 4.4691 9.3625 10.4059 105.40 102.40 90.00
Element x y z (fractional)
Sm 0.8327 0.6660 0.6654
Sm 0.1673 0.3340 0.3346
In 0.5000 0.5000 0.0000
In 0.8333 0.1638 0.6667
In 0.1667 0.8362 0.3333
Sn 0.5000 0.0000 0.0000
Te 0.3359 0.9022 0.6718
Te 0.6702 0.5730 0.3404
Te 0.6641 0.0978 0.3282
Te 0.0066 0.2514 0.0132
Te 0.9934 0.7486 0.9868
Te 0.3298 0.4270 0.6596

## Properties
Calculated volume = 34.1 A^3/atom
Calculated density = 6.206 Mg/m³
E_form (uncorrected) = -0.735 eV per atom
Raw total energy = -4.111 eV per atom